Record 1
This record from Alexandria via LeMat-Bulk describes Pm4Co2I after structural relaxation. The functional is GGA-PBE.

```
data_Pm4Co2I
_cell_length_a 8.634
_cell_length_b 8.638
_cell_length_c 8.614
_cell_angle_alpha 120.08
_cell_angle_beta 120.06
_cell_angle_gamma 89.87
_space_group_name_H-M_alt 'P 1'
_space_group_IT_number 1
loop_
_space_group_symop_operation_xyz
'x,y,z'
loop_
_atom_site_label
_atom_site_type_symbol
_atom_site_fract_x
_atom_site_fract_y
_atom_site_fract_z
_atom_site_occupancy
Pm1 Pm 0.852 0.146 0.293 1
Pm2 Pm 0.398 0.604 0.207 1
Pm3 Pm 0.853 0.558 0.706 1
Pm4 Pm 0.854 0.148 0.707 1
Pm5 Pm 0.442 0.147 0.294 1
Pm6 Pm 0.397 0.192 0.794 1
Pm7 Pm 0.396 0.602 0.793 1
Pm8 Pm 0.808 0.603 0.206 1
Co1 Co 0.625 0.375 0.750 1
Co2 Co 0.625 0.875 0.250 1
Co3 Co 0.625 0.375 0.250 1
Co4 Co 0.125 0.375 0.750 1
I1 I 0.249 0.751 0.500 1
I2 I 0.001 0.999 0.000 1
```

Properties
The formation energy (no corrections) is -191 meV/atom. The value obtained for the electronic total energy is -0.190 hartree per atom. As for the volume: 32.42 A^3/atom. The total magnetization comes out at 0.0 Bohr magnetons per cell.

***

Record 2
This record from Alexandria via LeMat-Bulk describes CeYBiTe after structural relaxation. The functional is GGA-PBE.

```
data_CeYBiTe
_cell_length_a 5.478
_cell_length_b 5.478
_cell_length_c 5.478
_cell_angle_alpha 60.00
_cell_angle_beta 60.00
_cell_angle_gamma 60.00
_space_group_name_H-M_alt 'P 1'
_space_group_IT_number 1
loop_
_space_group_symop_operation_xyz
'x,y,z'
loop_
_atom_site_label
_atom_site_type_symbol
_atom_site_fract_x
_atom_site_fract_y
_atom_site_fract_z
_atom_site_occupancy
Y1 Y 0.250 0.250 0.250 1
Te1 Te 0.000 0.000 0.000 1
Bi1 Bi 0.500 0.500 0.500 1
Ce1 Ce 0.750 0.750 0.750 1
```

Properties
The formation energy (no corrections) is -922 meV/atom. The value obtained for the electronic total energy is -0.212 hartree per atom. As for the volume: 29.06 A^3/atom. The total magnetization comes out at 1.9 Bohr magnetons per cell.

***

Record 3
This record from Alexandria via LeMat-Bulk describes Ba2CdIn6Pb after structural relaxation. The functional is GGA-PBE.

```
data_Ba2CdIn6Pb
_cell_length_a 7.489
_cell_length_b 7.489
_cell_length_c 14.764
_cell_angle_alpha 75.31
_cell_angle_beta 75.31
_cell_angle_gamma 60.00
_space_group_name_H-M_alt 'P 1'
_space_group_IT_number 1
loop_
_space_group_symop_operation_xyz
'x,y,z'
loop_
_atom_site_label
_atom_site_type_symbol
_atom_site_fract_x
_atom_site_fract_y
_atom_site_fract_z
_atom_site_occupancy
Ba1 Ba 0.891 0.891 0.326 1
Ba2 Ba 0.109 0.109 0.674 1
Ba3 Ba 0.722 0.722 0.834 1
Ba4 Ba 0.278 0.278 0.166 1
Cd1 Cd 0.000 0.000 0.000 1
Cd2 Cd 0.500 0.500 0.500 1
In1 In 0.931 0.329 0.411 1
In2 In 0.329 0.931 0.411 1
In3 In 0.329 0.329 0.411 1
In4 In 0.069 0.671 0.589 1
In5 In 0.671 0.069 0.589 1
In6 In 0.671 0.671 0.589 1
In7 In 0.635 0.225 0.914 1
In8 In 0.225 0.635 0.914 1
In9 In 0.225 0.225 0.914 1
In10 In 0.365 0.775 0.086 1
In11 In 0.775 0.365 0.086 1
In12 In 0.775 0.775 0.086 1
Pb1 Pb 0.575 0.575 0.274 1
Pb2 Pb 0.425 0.425 0.726 1
```

Properties
The value obtained for the electronic total energy is -0.097 hartree per atom. As for the formation energy: -151.1 kJ/mol of formula units. As for the volume: 34.28 A^3/atom. The total magnetization comes out at 0.0 Bohr magnetons per cell.

***

Record 4
This record from Alexandria via LeMat-Bulk describes SrCaRu2 after structural relaxation. The functional is GGA-PBE.

```
data_SrCaRu2
_cell_length_a 5.389
_cell_length_b 5.389
_cell_length_c 3.202
_cell_angle_alpha 89.88
_cell_angle_beta 89.88
_cell_angle_gamma 110.36
_space_group_name_H-M_alt 'P 1'
_space_group_IT_number 1
loop_
_space_group_symop_operation_xyz
'x,y,z'
loop_
_atom_site_label
_atom_site_type_symbol
_atom_site_fract_x
_atom_site_fract_y
_atom_site_fract_z
_atom_site_occupancy
Ru1 Ru 0.000 0.000 0.000 1
Ru2 Ru 0.500 0.500 0.000 1
Ca1 Ca 0.000 0.500 0.500 1
Sr1 Sr 0.500 0.000 0.500 1
```

Properties
The value obtained for the electronic total energy is -0.178 hartree per atom. As for the formation energy: 274.5 kJ/mol of formula units. As for the volume: 21.80 A^3/atom. The total magnetization comes out at 2.2 Bohr magnetons per cell.

***

Record 5
This record from Alexandria via LeMat-Bulk describes InIrN2O after structural relaxation. The functional is GGA-PBE.

```
data_InIrN2O
_cell_length_a 3.832
_cell_length_b 3.832
_cell_length_c 4.446
_cell_angle_alpha 90.00
_cell_angle_beta 90.00
_cell_angle_gamma 90.00
_space_group_name_H-M_alt 'P 1'
_space_group_IT_number 1
loop_
_space_group_symop_operation_xyz
'x,y,z'
loop_
_atom_site_label
_atom_site_type_symbol
_atom_site_fract_x
_atom_site_fract_y
_atom_site_fract_z
_atom_site_occupancy
N1 N 0.000 0.500 0.000 1
N2 N 0.500 0.000 0.000 1
Ir1 Ir 0.000 0.000 0.000 1
O1 O 0.000 0.000 0.500 1
In1 In 0.500 0.500 0.500 1
```

Properties
The formation energy (no corrections) is 538 meV/atom. The value obtained for the electronic total energy is -0.224 hartree per atom. As for the volume: 13.06 A^3/atom. The total magnetization comes out at 0.0 Bohr magnetons per cell.

***

Record 6
This record from Alexandria via LeMat-Bulk describes ReAu2Se after structural relaxation. The functional is GGA-PBE.

```
data_ReAu2Se
_cell_length_a 4.604
_cell_length_b 4.604
_cell_length_c 4.604
_cell_angle_alpha 119.95
_cell_angle_beta 119.95
_cell_angle_gamma 90.08
_space_group_name_H-M_alt 'P 1'
_space_group_IT_number 1
loop_
_space_group_symop_operation_xyz
'x,y,z'
loop_
_atom_site_label
_atom_site_type_symbol
_atom_site_fract_x
_atom_site_fract_y
_atom_site_fract_z
_atom_site_occupancy
Au1 Au 0.000 0.000 0.000 1
Au2 Au 0.250 0.750 0.500 1
Re1 Re 0.500 0.500 0.000 1
Se1 Se 0.750 0.250 0.500 1
```

Properties
The formation energy (no corrections) is 764 meV/atom. The value obtained for the electronic total energy is -0.179 hartree per atom. As for the volume: 17.27 A^3/atom. The total magnetization comes out at 0.0 Bohr magnetons per cell.